VASP calculation (GGA-PBE) on a relaxed structure of PmEr2TmS6.

The structure belongs to space group R3 (No. 146, hexagonal axes); the cell edges are 6.9077, 6.9077 and 18.4584 Å and the angles 90.00°, 90.00° and 120.00°. The asymmetric unit holds Pm at (0.0000, 0.0000, 0.0000), Er at (0.0000, 0.0000, 0.2938), Er at (0.0000, 0.0000, 0.7972), Tm at (0.0000, 0.0000, 0.4944), S at (0.0011, 0.3062, 0.8935) and S at (0.0177, 0.7141, 0.3945).

The uncorrected energy is -190.9 eV for the cell shown. As for the calculated volume: 763 Å³/cell.



VASP calculation (GGA-PBE) on a relaxed structure of PmEr3Tm2S6.

The structure belongs to space group C2/m (No. 12); the cell edges are 6.7169, 11.6819 and 6.7261 Å and the angles 90.00°, 109.50° and 90.00°. The asymmetric unit holds Pm at (0.0000, 0.0000, 0.0000), Er at (0.0000, 0.1611, 0.5000), Er at (0.0000, 0.5000, 0.5000), Tm at (0.0000, 0.3344, 0.0000), S at (0.2397, 0.5000, 0.2510) and S at (0.2430, 0.3277, 0.7452).

The uncorrected energy is -151.3 eV for the cell shown. As for the calculated volume: 497 Å³/cell.



VASP calculation (GGA-PBE) on a relaxed structure of PmY2ErS6.

The structure belongs to space group R3 (No. 146, hexagonal axes); the cell edges are 6.9569, 6.9569 and 18.5737 Å and the angles 90.00°, 90.00° and 120.00°. The asymmetric unit holds Pm at (0.0000, 0.0000, 0.0000), Y at (0.0000, 0.0000, 0.2941), Y at (0.0000, 0.0000, 0.7970), Er at (0.0000, 0.0000, 0.4954), S at (0.0119, 0.7109, 0.3959) and S at (0.0298, 0.3610, 0.5615).

The uncorrected energy is -202.6 eV for the cell shown. As for the calculated volume: 779 Å³/cell.



VASP calculation (GGA-PBE) on a relaxed structure of PmYEr2S4.

The structure belongs to space group P2/m (No. 10); the cell edges are 6.7771, 3.8772 and 6.8632 Å and the angles 90.00°, 108.91° and 90.00°. The asymmetric unit holds Pm at (0.0000, 0.0000, 0.0000), Y at (0.5000, 0.5000, 0.0000), Er at (0.0000, 0.5000, 0.5000), Er at (0.5000, 0.0000, 0.5000), S at (0.2514, 0.0000, 0.7408) and S at (0.2589, 0.5000, 0.2627).

The uncorrected energy is -52.7 eV for the cell shown. As for the calculated volume: 171 Å³/cell.



VASP calculation (GGA-PBE) on a relaxed structure of Pm3Y3ErS8.

The structure belongs to space group R-3m (No. 166, hexagonal axes); the cell edges are 7.8979, 7.8979 and 19.5391 Å and the angles 90.00°, 90.00° and 120.00°. The asymmetric unit holds Pm at (0.0000, 0.5000, 0.0000), Y at (0.0000, 0.5000, 0.5000), Er at (0.0000, 0.0000, 0.5000), S at (0.0000, 0.0000, 0.2465) and S at (0.0015, 0.5007, 0.2462).

The uncorrected energy is -306.4 eV for the cell shown. As for the calculated volume: 1055 Å³/cell.



VASP calculation (GGA-PBE) on a relaxed structure of Pm4YEr3S8.

The structure belongs to space group R-3m (No. 166, hexagonal axes); the cell edges are 7.8518, 7.8518 and 19.7025 Å and the angles 90.00°, 90.00° and 120.00°. The asymmetric unit holds Pm at (0.0000, 0.0000, 0.0000), Pm at (0.0000, 0.5000, 0.0000), Y at (0.0000, 0.0000, 0.5000), Er at (0.0000, 0.5000, 0.5000), S at (0.0000, 0.0000, 0.2442) and S at (0.0025, 0.5012, 0.7552).

The uncorrected energy is -312.6 eV for the cell shown. As for the calculated volume: 1052 Å³/cell.



VASP calculation (GGA-PBE) on a relaxed structure of Pm3Y4ErS8.

The structure belongs to space group R-3m (No. 166, hexagonal axes); the cell edges are 7.9074, 7.9074 and 19.4170 Å and the angles 90.00°, 90.00° and 120.00°. The asymmetric unit holds Pm at (0.0000, 0.5000, 0.0000), Y at (0.0000, 0.0000, 0.5000), Y at (0.0000, 0.5000, 0.5000), Er at (0.0000, 0.0000, 0.0000), S at (0.0000, 0.0000, 0.2461) and S at (0.0078, 0.5039, 0.7519).

The uncorrected energy is -329.0 eV for the cell shown. As for the calculated volume: 1051 Å³/cell.



VASP calculation (GGA-PBE) on a relaxed structure of Pm3Y2ErS6.

The structure belongs to space group C2/m (No. 12); the cell edges are 6.8303, 11.8715 and 6.9185 Å and the angles 90.00°, 109.26° and 90.00°. The asymmetric unit holds Pm at (0.0000, 0.0000, 0.0000), Pm at (0.0000, 0.3317, 0.0000), Y at (0.0000, 0.1668, 0.5000), Er at (0.0000, 0.5000, 0.5000), S at (0.2439, 0.3349, 0.7367) and S at (0.2491, 0.0000, 0.7380).

The uncorrected energy is -161.4 eV for the cell shown. As for the calculated volume: 530 Å³/cell.



VASP calculation (GGA-PBE) on a relaxed structure of Pm2YEr3S6.

The structure belongs to space group C2/m (No. 12); the cell edges are 17.1614, 3.9067 and 7.9226 Å and the angles 90.00°, 104.04° and 90.00°. The asymmetric unit holds Pm at (0.1675, 0.0000, 0.3351), Y at (0.0000, 0.5000, 0.0000), Er at (0.0000, 0.5000, 0.5000), Er at (0.1682, 0.0000, 0.8329), S at (0.0039, 0.0000, 0.7484), S at (0.1627, 0.5000, 0.5925) and S at (0.1671, 0.5000, 0.0725).

The uncorrected energy is -156.6 eV for the cell shown. As for the calculated volume: 515 Å³/cell.



VASP calculation (GGA-PBE) on a relaxed structure of PmYEr4S8.

The structure belongs to space group R3m (No. 160, hexagonal axes); the cell edges are 8.0278, 8.0278 and 19.7360 Å and the angles 90.00°, 90.00° and 120.00°. The asymmetric unit holds Pm at (0.0000, 0.0000, 0.0000), Y at (0.0000, 0.0000, 0.6251), Er at (0.0000, 0.0000, 0.2510), Er at (0.0016, 0.5008, 0.1259), S at (0.0000, 0.0000, 0.3831), S at (0.0000, 0.0000, 0.8640), S at (0.0271, 0.5135, 0.3805) and S at (0.1749, 0.3499, 0.2056).

The uncorrected energy is -268.3 eV for the cell shown. As for the calculated volume: 1102 Å³/cell.



VASP calculation (GGA-PBE) on a relaxed structure of Pm2YErS4.

The structure belongs to space group P2/m (No. 10); the cell edges are 6.8232, 3.9115 and 6.9687 Å and the angles 90.00°, 108.83° and 90.00°. The asymmetric unit holds Pm at (0.0000, 0.0000, 0.0000), Pm at (0.5000, 0.5000, 0.0000), Y at (0.0000, 0.5000, 0.5000), Er at (0.5000, 0.0000, 0.5000), S at (0.2478, 0.0000, 0.7366) and S at (0.2577, 0.5000, 0.2651).

The uncorrected energy is -53.1 eV for the cell shown. As for the calculated volume: 176 Å³/cell.



VASP calculation (GGA-PBE) on a relaxed structure of Pm4Y3ErS8.

The structure belongs to space group R-3m (No. 166, hexagonal axes); the cell edges are 7.9018, 7.9018 and 19.6418 Å and the angles 90.00°, 90.00° and 120.00°. The asymmetric unit holds Pm at (0.0000, 0.0000, 0.0000), Pm at (0.0000, 0.5000, 0.0000), Y at (0.0000, 0.5000, 0.5000), Er at (0.0000, 0.0000, 0.5000), S at (0.0000, 0.0000, 0.2460) and S at (0.0026, 0.5013, 0.2454).

The uncorrected energy is -324.4 eV for the cell shown. As for the calculated volume: 1062 Å³/cell.